AcEuSiPb after structural relaxation, computed with GGA-PBE.

a b c (Å): 5.5710 5.5710 5.5710
angles (deg): 60.00 60.00 60.00
Closest atoms and distances in Å follow each position.
Element x y z (fractional)
Pb1 0.0000 0.0000 0.0000  4 Ac 3.41, 4 Eu 3.41
Eu1 0.2500 0.2500 0.2500  4 Pb 3.41, 4 Si 3.41
Ac1 0.7500 0.7500 0.7500  4 Pb 3.41, 4 Si 3.41
Si1 0.5000 0.5000 0.5000  4 Eu 3.41, 4 Ac 3.41

Uncorrected energy in eV/atom: -6.21
Fermi-level density of states in states/eV/f.u.: 7.81
Mass density in g cm⁻³: 8.34
Formation energy without anion corrections in eV per atom: -0.33
Space-group type: F-43m (216)



Y2InIr after structural relaxation, computed with GGA-PBE.

a b c (Å): 5.0027 5.0027 3.6924
angles (deg): 90.00 90.00 90.05
Closest atoms and distances in Å follow each position.
Element x y z (fractional)
In1 0.5000 0.0000 0.5000  8 Y 3.11
Ir1 0.0000 0.5000 0.5000  8 Y 3.11
Y1 0.0000 0.0000 0.0000  4 Ir 3.11, 4 In 3.11
Y2 0.5000 0.5000 0.0000  4 In 3.11, 4 Ir 3.11

Uncorrected energy in eV/atom: -6.70
Fermi-level density of states in states/eV/f.u.: 1.37
DFT formation energy in eV per atom: -0.565
Mass density in g cm⁻³: 8.71
Space-group type: P4/mmm (123)



PrHoSe2Cl after structural relaxation, computed with GGA-PBE.

a b c (Å): 4.1811 4.1811 14.1401
angles (deg): 90.00 90.00 90.00
Closest atoms and distances in Å follow each position.
Element x y z (fractional)
Pr1 0.5000 0.0000 0.6475  4 Cl 2.95, 4 Se 3.08
Pr2 0.0000 0.5000 0.3525  4 Cl 2.95, 4 Se 3.08
Ho1 0.5000 0.0000 0.0898  6 Se 2.87-2.98
Ho2 0.0000 0.5000 0.9102  6 Se 2.87-2.98
Se1 0.0000 0.5000 0.7075  1 Ho 2.87, 4 Pr 3.08
Se2 0.0000 0.5000 0.1149  5 Ho 2.89-2.98
Se3 0.5000 0.0000 0.8851  5 Ho 2.89-2.98
Se4 0.5000 0.0000 0.2925  1 Ho 2.87, 4 Pr 3.08
Cl1 0.0000 0.0000 0.5000  4 Pr 2.95, 4 Cl 2.96
Cl2 0.5000 0.5000 0.5000  4 Pr 2.95, 4 Cl 2.96

Uncorrected energy in eV/atom: -5.51
Fermi-level density of states in states/eV/f.u.: 1.64
Mass density in g cm⁻³: 6.71
Formation energy without anion corrections in eV per atom: -1.87
Space-group type: P4/nmm (129)



TbY3Sc2 after structural relaxation, computed with GGA-PBE.

a b c (Å): 3.3926 9.8999 11.4801
angles (deg): 107.51 98.50 90.00
Closest atoms and distances in Å follow each position.
Element x y z (fractional)
Tb1 0.3145 0.9544 0.6291  3 Sc 3.20-3.43, 2 Tb 3.39, 5 Y 3.43-3.56
Tb2 0.6855 0.0456 0.3709  3 Sc 3.20-3.43, 2 Tb 3.39, 5 Y 3.43-3.56
Y1 0.3030 0.2923 0.6061  3 Sc 3.28-3.33, 5 Y 3.39-3.61, 3 Tb 3.43-3.46
Y2 0.0688 0.7765 0.1375  8 Y 3.39-3.75, 2 Sc 3.56-3.57, 2 Tb 3.56
Y3 0.4403 0.5666 0.8805  3 Sc 3.23-3.46, 6 Y 3.36-3.47
Y4 0.6970 0.7077 0.3939  3 Sc 3.28-3.33, 5 Y 3.39-3.61, 3 Tb 3.43-3.46
Y5 0.5597 0.4334 0.1195  3 Sc 3.23-3.46, 6 Y 3.36-3.47
Y6 0.9312 0.2235 0.8625  8 Y 3.39-3.75, 2 Sc 3.56-3.57, 2 Tb 3.56
Sc1 0.3082 0.6273 0.6163  1 Tb 3.20, 4 Y 3.23-3.33, 6 Sc 3.39-3.49
Sc2 0.6918 0.3727 0.3837  1 Tb 3.20, 4 Y 3.23-3.33, 6 Sc 3.39-3.49
Sc3 0.9273 0.8606 0.8546  5 Sc 3.39-3.60, 2 Tb 3.43, 4 Y 3.46-3.57
Sc4 0.0727 0.1394 0.1454  5 Sc 3.39-3.60, 2 Tb 3.43, 4 Y 3.46-3.57

Uncorrected energy in eV/atom: -5.96
Distance to the lowest polymorph of the same formula in meV per atom: 0.0
Fermi-level density of states in states/eV/f.u.: 11.41
DFT formation energy in eV per atom: 0.154
Mass density in g cm⁻³: 4.71
Space-group type: C2/m (12)



MgCd6In after structural relaxation, computed with GGA-PBE.

a b c (Å): 4.5005 4.5005 9.0180
angles (deg): 90.00 90.00 90.00
Closest atoms and distances in Å follow each position.
Element x y z (fractional)
Mg1 0.0000 0.0000 0.0000  12 Cd 3.13-3.18
Cd1 0.5000 0.5000 0.0000  8 Cd 3.13, 4 Mg 3.18
Cd2 0.5000 0.5000 0.5000  4 In 3.18, 8 Cd 3.24
Cd3 0.5000 0.0000 0.2420  8 Cd 3.13-3.24, 2 Mg 3.13, 2 In 3.24
Cd4 0.5000 0.0000 0.7580  8 Cd 3.13-3.24, 2 Mg 3.13, 2 In 3.24
Cd5 0.0000 0.5000 0.2420  8 Cd 3.13-3.24, 2 Mg 3.13, 2 In 3.24
Cd6 0.0000 0.5000 0.7580  8 Cd 3.13-3.24, 2 Mg 3.13, 2 In 3.24
In1 0.0000 0.0000 0.5000  12 Cd 3.18-3.24

Uncorrected energy in eV/atom: -1.25
Fermi-level density of states in states/eV/f.u.: 2.25
DFT formation energy in eV per atom: -0.019
Mass density in g cm⁻³: 7.40
Space-group type: P4/mmm (123)



Y8Pd2Au after structural relaxation, computed with GGA-PBE.

a b c (Å): 5.1164 6.8257 9.2585
angles (deg): 104.96 106.04 90.00
Closest atoms and distances in Å follow each position.
Element x y z (fractional)
Y1 0.4081 0.5404 0.8162  1 Au 3.12, 2 Pd 3.32, 6 Y 3.46-3.50
Y2 0.6702 0.9833 0.3405  1 Pd 2.80, 1 Au 3.06
Y3 0.7965 0.6684 0.5930  1 Pd 2.83
Y4 0.9669 0.2200 0.9337  1 Pd 2.80, 2 Au 3.10
Y5 0.2035 0.3316 0.4070  1 Pd 2.83
Y6 0.3298 0.0167 0.6595  1 Pd 2.80, 1 Au 3.06
Y7 0.5919 0.4596 0.1838  1 Au 3.12, 2 Pd 3.32, 6 Y 3.46-3.50
Y8 0.0331 0.7800 0.0663  1 Pd 2.80, 2 Au 3.10
Pd1 0.8158 0.2701 0.6316  3 Y 2.80-2.83
Pd2 0.1842 0.7299 0.3684  3 Y 2.80-2.83
Au1 0.5000 0.0000 0.0000  8 Y 3.06-3.12

Uncorrected energy in eV/atom: -6.41
Distance to the lowest polymorph of the same formula in meV per atom: 0.0
Fermi-level density of states in states/eV/f.u.: 14.31
DFT formation energy in eV per atom: -0.467
Mass density in g cm⁻³: 6.22
Space-group type: C2/m (12)



Cs8HgBr2 after structural relaxation, computed with GGA-PBE.

a b c (Å): 7.6016 10.9545 10.9545
angles (deg): 75.75 89.01 89.01
Closest atoms and distances in Å follow each position.
Element x y z (fractional)
Cs1 0.7575 0.8826 0.3314  1 Br 3.71, 1 Hg 3.97
Cs2 0.2425 0.6686 0.1174  1 Br 3.71, 1 Hg 3.97
Cs3 0.7299 0.8161 0.8161  1 Br 3.73, 1 Hg 3.82
Cs4 0.2701 0.1839 0.1839  1 Br 3.73, 1 Hg 3.82
Cs5 0.7575 0.3314 0.8826  1 Br 3.71, 1 Hg 3.97
Cs6 0.2425 0.1174 0.6686  1 Br 3.71, 1 Hg 3.97
Cs7 0.2475 0.6087 0.6087  3 Br 3.62-3.82
Cs8 0.7525 0.3913 0.3913  3 Br 3.62-3.82
Hg1 0.0000 0.0000 0.0000  6 Cs 3.82-3.97
Br1 0.7495 0.6006 0.6006  6 Cs 3.62-3.82
Br2 0.2505 0.3994 0.3994  6 Cs 3.62-3.82

Uncorrected energy in eV/atom: -1.60
Fermi-level density of states in states/eV/f.u.: 6.71
Mass density in g cm⁻³: 2.67
Formation energy without anion corrections in eV per atom: -0.65
Space-group type: C2/m (12)



GaWBr2N after structural relaxation, computed with GGA-PBE.

a b c (Å): 5.4826 3.8620 5.4826
angles (deg): 90.00 90.00 90.00
Closest atoms and distances in Å follow each position.
Element x y z (fractional)
Ga1 0.5000 0.5000 0.5000  8 Br 3.35
Br1 0.0000 0.0000 0.5000  2 W 2.74
Br2 0.5000 0.0000 0.0000  2 W 2.74
W1 0.0000 0.0000 0.0000  2 N 1.93
N1 0.0000 0.5000 0.0000  2 W 1.93

Uncorrected energy in eV/atom: -5.40
Fermi-level density of states in states/eV/f.u.: 1.71
Mass density in g cm⁻³: 6.11
Formation energy without anion corrections in eV per atom: 0.13
Space-group type: P4/mmm (123)



Ba2ThUN4 after structural relaxation, computed with GGA-PBE.

a b c (Å): 3.6803 6.3546 6.7822
angles (deg): 108.15 90.00 90.00
Closest atoms and distances in Å follow each position.
Element x y z (fractional)
Ba1 0.5000 0.0000 0.5000  6 N 2.91-2.94
Ba2 0.0000 0.5000 0.5000  6 N 3.05-3.15
Th1 0.5000 0.5000 0.0000  6 N 2.49-2.50
U1 0.0000 0.0000 0.0000  6 N 2.20-2.34
N1 0.5000 0.2037 0.1699  2 U 2.34, 1 Th 2.50
N2 0.5000 0.7963 0.8301  2 U 2.34, 1 Th 2.50
N3 0.0000 0.2447 0.8306  1 U 2.20
N4 0.0000 0.7553 0.1694  1 U 2.20

Uncorrected energy in eV/atom: -8.14
Fermi-level density of states in states/eV/f.u.: 4.57
Mass density in g cm⁻³: 8.82
Formation energy without anion corrections in eV per atom: -1.15
Space-group type: P2/m (10)



CeGdZnAu after structural relaxation, computed with GGA-PBE.

a b c (Å): 5.1655 5.1655 5.1655
angles (deg): 60.00 60.00 60.00
Closest atoms and distances in Å follow each position.
Element x y z (fractional)
Zn1 0.0000 0.0000 0.0000  4 Ce 3.16, 4 Gd 3.16
Gd1 0.2500 0.2500 0.2500  4 Zn 3.16, 4 Au 3.16
Au1 0.5000 0.5000 0.5000  4 Gd 3.16, 4 Ce 3.16
Ce1 0.7500 0.7500 0.7500  4 Zn 3.16, 4 Au 3.16

Uncorrected energy in eV/atom: -6.60
Fermi-level density of states in states/eV/f.u.: 9.31
DFT formation energy in eV per atom: -0.460
Mass density in g cm⁻³: 9.54
Space-group type: F-43m (216)



Sm3UTl3S8 after structural relaxation, computed with GGA-PBE.

a b c (Å): 8.1863 8.1854 8.9221
angles (deg): 117.32 90.00 120.01
Closest atoms and distances in Å follow each position.
Element x y z (fractional)
Sm1 0.5000 0.0000 0.5000  6 S 2.81-2.82
Sm2 0.5000 0.5000 0.5000  6 S 2.81-2.82
Sm3 0.0000 0.5000 0.5000  6 S 2.81-2.82
U1 0.0000 0.0000 0.5000  6 S 2.71
Tl1 0.0000 0.0000 0.0000  6 S 3.27-3.28
Tl2 0.0000 0.5000 0.0000  6 S 3.27-3.28
Tl3 0.5000 0.5000 0.0000  6 S 3.27-3.28
S1 0.2662 0.5325 0.2988  3 Sm 2.81
S2 0.7338 0.4675 0.7012  3 Sm 2.81
S3 0.7747 0.5495 0.3056  1 U 2.71, 2 Sm 2.82
S4 0.2253 0.4505 0.6944  1 U 2.71, 2 Sm 2.82
S5 0.7747 0.0308 0.3056  1 U 2.71, 2 Sm 2.82
S6 0.2253 0.9692 0.6944  1 U 2.71, 2 Sm 2.82
S7 0.2561 0.0308 0.3056  1 U 2.71, 2 Sm 2.82
S8 0.7439 0.9692 0.6944  1 U 2.71, 2 Sm 2.82

Uncorrected energy in eV/atom: -5.82
Fermi-level density of states in states/eV/f.u.: 5.94
Mass density in g cm⁻³: 5.90
Formation energy without anion corrections in eV per atom: -1.45
Space-group type: R-3m (166)



CuPbW2 after structural relaxation, computed with GGA-PBE.

a b c (Å): 4.9144 4.9144 5.2859
angles (deg): 84.22 84.22 33.66
Closest atoms and distances in Å follow each position.
Element x y z (fractional)
Cu1 0.5069 0.5069 0.4901  3 Pb 2.76-2.95, 5 W 2.80-2.93, 2 Cu 2.85
Pb1 0.7529 0.7529 0.7308  3 Cu 2.76-2.95, 2 Pb 2.85, 5 W 2.95-3.05
W1 0.9979 0.9979 0.0363  5 W 2.65-2.91, 2 Cu 2.80, 1 Pb 2.95
W2 0.2422 0.2422 0.2428  5 W 2.65-2.91, 3 Cu 2.83-2.93, 2 Pb 2.96

Uncorrected energy in eV/atom: -7.58
Fermi-level density of states in states/eV/f.u.: 3.30
DFT formation energy in eV per atom: 0.850
Mass density in g cm⁻³: 15.07
Space-group type: Cm (8)



Q: The highest mass density belongs to which entry?
A: CuPbW2